1.
First-principles (SCAN) data for Nd2Cu5Ag5 at its PBEsol-relaxed geometry, as listed in Alexandria.

Structure (POSCAR):
```
Nd2Cu5Ag5
1.0
4.361 0.000 0.000
0.000 5.186 0.000
0.000 0.000 9.234
Nd Cu Ag
2 5 5
direct
0.000 0.500 0.000 Nd
0.000 0.000 0.500 Nd
0.500 0.500 0.500 Cu
0.500 0.749 0.260 Cu
0.500 0.251 0.740 Cu
0.500 0.251 0.260 Cu
0.500 0.749 0.740 Cu
0.000 0.500 0.333 Ag
0.000 0.000 0.822 Ag
0.000 0.000 0.178 Ag
0.000 0.500 0.667 Ag
0.500 0.000 0.000 Ag
```

Results
The symmetry is No. 47. Its energy of formation is -0.099 eV/atom. The value obtained for the total magnetization is 0.00 Bohr magnetons per cell.

---

2.
First-principles (SCAN) data for CuNiAg at its PBEsol-relaxed geometry, as listed in Alexandria.

Structure (POSCAR):
```
CuNiAg
1.0
2.688 0.000 0.000
0.000 2.688 0.000
-1.344 -1.344 5.274
Ag Cu Ni
1 1 1
direct
0.999 0.999 0.998 Ag
0.679 0.679 0.358 Cu
0.322 0.322 0.645 Ni
```

Results
The symmetry is No. 107. Its energy of formation is 0.200 eV/atom. The value obtained for the total magnetization is 0.00 Bohr magnetons per cell.

---

3.
First-principles (SCAN) data for CuNi2Ag at its PBEsol-relaxed geometry, as listed in Alexandria.

Structure (POSCAR):
```
CuNi2Ag
1.0
-2.078 -1.419 0.366
1.495 -0.599 4.200
-1.869 4.500 -1.016
Ag Cu Ni
1 1 2
direct
0.500 0.000 0.000 Ag
0.000 0.500 0.000 Cu
0.000 0.000 0.500 Ni
0.500 0.500 0.500 Ni
```

Results
The symmetry is No. 12. Its energy of formation is 0.301 eV/atom. The value obtained for the total magnetization is 1.10 Bohr magnetons per cell.

---

In order of appearance, VASP energy = -26.77; -20.71; -19.43 eV per atom.